Material: ScAs2O
Method: DFT, PBE
State: relaxed

Total magnetic moment, Bohr magnetons per cell: 0.00
Formation energy without anion corrections, meV per atom: -324

Unit cell a=6.399 b=6.399 c=5.740 alpha=56.13 beta=56.13 gamma=90.00
Atoms (fractional coordinates):
1 As 0.537 0.125 0.250
2 O 0.500 0.500 0.000
3 As 0.213 0.625 0.250
4 Sc 0.000 0.000 0.000
5 Sc 0.750 0.250 0.500
6 As 0.375 0.463 0.750
7 As 0.875 0.787 0.750
8 O 0.250 0.750 0.500

Material: Sc6As3O
Method: DFT, PBE
State: relaxed

Total magnetic moment, Bohr magnetons per cell: 0.05
Formation energy without anion corrections, meV per atom: -1361

Unit cell a=6.235 b=8.232 c=8.232 alpha=101.35 beta=90.00 gamma=90.00
Atoms (fractional coordinates):
1 O 0.026 0.199 0.801
2 Sc 0.156 0.051 0.949
3 Sc 0.201 0.772 0.228
4 Sc 0.656 0.949 0.051
5 Sc 0.701 0.228 0.772
6 As 0.981 0.726 0.933
7 As 0.481 0.933 0.726
8 As 0.896 0.606 0.394
9 O 0.526 0.801 0.199
10 Sc 0.190 0.370 0.301
11 As 0.981 0.067 0.274
12 Sc 0.690 0.301 0.370
13 As 0.481 0.274 0.067
14 Sc 0.683 0.575 0.107
15 Sc 0.183 0.107 0.575
16 As 0.396 0.394 0.606
17 Sc 0.190 0.699 0.630
18 Sc 0.683 0.893 0.425
19 Sc 0.183 0.425 0.893
20 Sc 0.690 0.630 0.699

Material: ScAsO2
Method: DFT, PBE
State: relaxed

Total magnetic moment, Bohr magnetons per cell: 0.00
Formation energy without anion corrections, meV per atom: -1627

Unit cell a=5.311 b=5.311 c=5.956 alpha=63.52 beta=63.52 gamma=90.00
Atoms (fractional coordinates):
1 Sc 0.500 0.500 0.000
2 O 0.875 0.799 0.750
3 As 0.750 0.250 0.500
4 O 0.549 0.125 0.250
5 As 0.000 0.000 0.000
6 O 0.375 0.451 0.750
7 O 0.201 0.625 0.250
8 Sc 0.250 0.750 0.500

- Which formula does entry 3 have?
  ScAsO2